(1)
Density functional theory data (PBE-GGA) for a geometry-optimized KLiSN2 structure. Values from VASP.

* raw formation energy: 1.778 eV/atom
* SG: P4/mmm (123)
* excess energy over the best structure of this formula in the dataset: 54.0 kJ per mole of atoms
* total DFT energy (no corrections): -0.1095 Ha/atom
* total magnetization: 6.01 μB per cell

Cell and atoms, written as Quantum ESPRESSO input:
```
&SYSTEM
  ibrav = 0, nat = 5, ntyp = 4
/
ATOMIC_SPECIES
K 39.10 K.upf
Li 6.94 Li.upf
S 32.06 S.upf
N 14.01 N.upf
CELL_PARAMETERS angstrom
5.061 0.000 0.000
0.000 5.061 0.000
0.000 0.000 6.005
ATOMIC_POSITIONS angstrom
K 0.000 0.000 0.000
Li 2.531 2.531 3.002
S 0.000 0.000 3.002
N 0.000 2.531 0.000
N 2.531 0.000 0.000
```

---

(2)
Density functional theory data (PBE-GGA) for a geometry-optimized KLiScN2 structure. Values from VASP.

* raw formation energy: 0.653 eV/atom
* SG: P4/mmm (123)
* total DFT energy (no corrections): -0.1670 Ha/atom
* total magnetization: 0.83 μB per cell

Cell and atoms, written as Quantum ESPRESSO input:
```
&SYSTEM
  ibrav = 0, nat = 5, ntyp = 4
/
ATOMIC_SPECIES
K 39.10 K.upf
Li 6.94 Li.upf
Sc 44.96 Sc.upf
N 14.01 N.upf
CELL_PARAMETERS angstrom
4.258 0.000 0.000
0.000 4.258 0.000
0.000 0.000 5.209
ATOMIC_POSITIONS angstrom
K 0.000 0.000 0.000
Li 2.129 2.129 0.000
Sc 0.000 0.000 2.605
N 0.000 2.129 2.605
N 2.129 0.000 2.605
```

---

(3)
Density functional theory data (PBE-GGA) for a geometry-optimized KLiSeN2 structure. Values from VASP.

* raw formation energy: 1.205 eV/atom
* SG: P4/mmm (123)
* excess energy over the best structure of this formula in the dataset: 0.0 kJ per mole of atoms
* total DFT energy (no corrections): -0.1258 Ha/atom
* total magnetization: 5.94 μB per cell

Cell and atoms, written as Quantum ESPRESSO input:
```
&SYSTEM
  ibrav = 0, nat = 5, ntyp = 4
/
ATOMIC_SPECIES
K 39.10 K.upf
Li 6.94 Li.upf
Se 78.96 Se.upf
N 14.01 N.upf
CELL_PARAMETERS angstrom
4.653 0.000 0.000
0.000 4.653 0.000
0.000 0.000 4.951
ATOMIC_POSITIONS angstrom
K 0.000 0.000 0.000
Li 2.326 2.326 2.476
Se 2.326 2.326 0.000
N 0.000 2.326 2.476
N 2.326 0.000 2.476
```

---

(4)
Density functional theory data (PBE-GGA) for a geometry-optimized KLiSeN2 structure. Values from VASP.

* raw formation energy: 1.705 eV/atom
* SG: P4/mmm (123)
* excess energy over the best structure of this formula in the dataset: 48.2 kJ per mole of atoms
* total DFT energy (no corrections): -0.1075 Ha/atom
* total magnetization: 6.02 μB per cell

Cell and atoms, written as Quantum ESPRESSO input:
```
&SYSTEM
  ibrav = 0, nat = 5, ntyp = 4
/
ATOMIC_SPECIES
K 39.10 K.upf
Li 6.94 Li.upf
Se 78.96 Se.upf
N 14.01 N.upf
CELL_PARAMETERS angstrom
5.061 0.000 0.000
0.000 5.061 0.000
0.000 0.000 6.291
ATOMIC_POSITIONS angstrom
K 0.000 0.000 0.000
Li 2.530 2.530 3.145
Se 0.000 0.000 3.145
N 0.000 2.530 0.000
N 2.530 0.000 0.000
```

---

(5)
Density functional theory data (PBE-GGA) for a geometry-optimized KLiSe2N structure. Values from VASP.

* raw formation energy: 1.077 eV/atom
* SG: P4/mmm (123)
* excess energy over the best structure of this formula in the dataset: 63.4 kJ per mole of atoms
* total DFT energy (no corrections): -0.0950 Ha/atom
* total magnetization: 5.02 μB per cell

Cell and atoms, written as Quantum ESPRESSO input:
```
&SYSTEM
  ibrav = 0, nat = 5, ntyp = 4
/
ATOMIC_SPECIES
K 39.10 K.upf
Li 6.94 Li.upf
Se 78.96 Se.upf
N 14.01 N.upf
CELL_PARAMETERS angstrom
6.017 0.000 0.000
0.000 6.017 0.000
0.000 0.000 5.129
ATOMIC_POSITIONS angstrom
K 0.000 0.000 0.000
Li 3.009 3.009 2.565
Se 0.000 3.009 0.000
Se 3.009 0.000 0.000
N 0.000 0.000 2.565
```

---

(6)
Density functional theory data (PBE-GGA) for a geometry-optimized KLiSe2N structure. Values from VASP.

* raw formation energy: 0.420 eV/atom
* SG: P4/mmm (123)
* excess energy over the best structure of this formula in the dataset: 0.0 kJ per mole of atoms
* total DFT energy (no corrections): -0.1191 Ha/atom
* total magnetization: 3.09 μB per cell

Cell and atoms, written as Quantum ESPRESSO input:
```
&SYSTEM
  ibrav = 0, nat = 5, ntyp = 4
/
ATOMIC_SPECIES
K 39.10 K.upf
Li 6.94 Li.upf
Se 78.96 Se.upf
N 14.01 N.upf
CELL_PARAMETERS angstrom
4.801 0.000 0.000
0.000 4.801 0.000
0.000 0.000 5.048
ATOMIC_POSITIONS angstrom
K 0.000 0.000 0.000
Li 2.400 2.400 2.524
Se 0.000 2.400 2.524
Se 2.400 0.000 2.524
N 2.400 2.400 0.000
```

---

(7)
Density functional theory data (PBE-GGA) for a geometry-optimized KLiSiN2 structure. Values from VASP.

* raw formation energy: -0.684 eV/atom
* SG: C2/m (12)
* total DFT energy (no corrections): -0.2095 Ha/atom
* total magnetization: 0.00 μB per cell

Cell and atoms, written as Quantum ESPRESSO input:
```
&SYSTEM
  ibrav = 0, nat = 10, ntyp = 4
/
ATOMIC_SPECIES
K 39.10 K.upf
Li 6.94 Li.upf
Si 28.09 Si.upf
N 14.01 N.upf
CELL_PARAMETERS angstrom
5.437 -1.547 0.000
5.437 1.547 0.000
-1.481 0.000 7.591
ATOMIC_POSITIONS angstrom
K 1.440 0.000 1.062
K 7.953 0.000 6.529
Li 1.315 0.000 4.220
Li 8.077 0.000 3.372
Si 4.394 0.000 2.629
Si 4.999 0.000 4.962
N -0.044 0.000 5.821
N 3.427 0.000 4.183
N 5.965 0.000 3.409
N 9.437 0.000 1.770
```

---

(8)
Density functional theory data (PBE-GGA) for a geometry-optimized KLiTeN2 structure. Values from VASP.

* raw formation energy: 1.286 eV/atom
* SG: P4/mmm (123)
* excess energy over the best structure of this formula in the dataset: 0.0 kJ per mole of atoms
* total DFT energy (no corrections): -0.1204 Ha/atom
* total magnetization: 5.90 μB per cell

Cell and atoms, written as Quantum ESPRESSO input:
```
&SYSTEM
  ibrav = 0, nat = 5, ntyp = 4
/
ATOMIC_SPECIES
K 39.10 K.upf
Li 6.94 Li.upf
Te 127.60 Te.upf
N 14.01 N.upf
CELL_PARAMETERS angstrom
4.819 0.000 0.000
0.000 4.819 0.000
0.000 0.000 5.340
ATOMIC_POSITIONS angstrom
K 0.000 0.000 0.000
Li 2.409 2.409 2.670
Te 2.409 2.409 0.000
N 0.000 2.409 2.670
N 2.409 0.000 2.670
```

---

(9)
Density functional theory data (PBE-GGA) for a geometry-optimized KLiTeN2 structure. Values from VASP.

* raw formation energy: 1.682 eV/atom
* SG: P4/mmm (123)
* excess energy over the best structure of this formula in the dataset: 38.2 kJ per mole of atoms
* total DFT energy (no corrections): -0.1058 Ha/atom
* total magnetization: 6.02 μB per cell

Cell and atoms, written as Quantum ESPRESSO input:
```
&SYSTEM
  ibrav = 0, nat = 5, ntyp = 4
/
ATOMIC_SPECIES
K 39.10 K.upf
Li 6.94 Li.upf
Te 127.60 Te.upf
N 14.01 N.upf
CELL_PARAMETERS angstrom
5.070 0.000 0.000
0.000 5.070 0.000
0.000 0.000 6.780
ATOMIC_POSITIONS angstrom
K 0.000 0.000 0.000
Li 2.535 2.535 3.390
Te 0.000 0.000 3.390
N 0.000 2.535 0.000
N 2.535 0.000 0.000
```

---

(10)
Density functional theory data (PBE-GGA) for a geometry-optimized KLiTi2N structure. Values from VASP.

* raw formation energy: 2.253 eV/atom
* SG: P4/mmm (123)
* total DFT energy (no corrections): -0.1166 Ha/atom
* total magnetization: 3.17 μB per cell

Cell and atoms, written as Quantum ESPRESSO input:
```
&SYSTEM
  ibrav = 0, nat = 5, ntyp = 4
/
ATOMIC_SPECIES
K 39.10 K.upf
Li 6.94 Li.upf
Ti 47.87 Ti.upf
N 14.01 N.upf
CELL_PARAMETERS angstrom
4.878 0.000 0.000
0.000 4.878 0.000
0.000 0.000 4.617
ATOMIC_POSITIONS angstrom
K 0.000 0.000 0.000
Li 2.439 2.439 2.308
Ti 0.000 2.439 0.000
Ti 2.439 0.000 0.000
N 0.000 0.000 2.308
```

---

(11)
Density functional theory data (PBE-GGA) for a geometry-optimized KLiU2N5 structure. Values from VASP.

* raw formation energy: -0.724 eV/atom
* SG: I4/mcm (140)
* total DFT energy (no corrections): -0.3010 Ha/atom
* total magnetization: 1.65 μB per cell

Cell and atoms, written as Quantum ESPRESSO input:
```
&SYSTEM
  ibrav = 0, nat = 18, ntyp = 4
/
ATOMIC_SPECIES
K 39.10 K.upf
Li 6.94 Li.upf
U 238.03 U.upf
N 14.01 N.upf
CELL_PARAMETERS angstrom
-3.214 3.214 5.970
3.214 -3.214 5.970
3.214 3.214 -5.970
ATOMIC_POSITIONS angstrom
K 0.000 0.000 2.985
K 0.000 0.000 8.955
Li 3.214 0.000 2.985
Li 0.000 3.214 2.985
U 4.288 1.074 0.000
U 1.074 2.140 0.000
U 2.140 1.074 5.970
U -1.074 2.140 5.970
N 0.000 0.000 0.000
N 2.227 0.987 -1.313
N 2.227 -0.987 4.657
N 2.227 0.987 1.313
N 2.227 -0.987 7.283
N 0.000 0.000 5.970
N 0.987 4.201 -1.313
N 0.987 2.227 4.657
N 0.987 4.201 1.313
N 0.987 2.227 7.283
```

---

(12)
Density functional theory data (PBE-GGA) for a geometry-optimized KLiU4N8 structure. Values from VASP.

* raw formation energy: -0.981 eV/atom
* SG: R3m (160)
* total DFT energy (no corrections): -0.3373 Ha/atom
* total magnetization: 2.10 μB per cell

Cell and atoms, written as Quantum ESPRESSO input:
```
&SYSTEM
  ibrav = 0, nat = 14, ntyp = 4
/
ATOMIC_SPECIES
K 39.10 K.upf
Li 6.94 Li.upf
U 238.03 U.upf
N 14.01 N.upf
CELL_PARAMETERS angstrom
3.500 2.021 5.255
-3.500 2.021 5.255
0.000 -4.041 5.255
ATOMIC_POSITIONS angstrom
K 0.000 0.000 0.000
Li 0.000 0.000 9.805
U -1.791 -1.034 7.046
U 0.000 0.000 3.530
U 1.791 -1.034 7.046
U 0.000 2.068 7.046
N 0.000 -1.916 8.120
N -1.659 0.958 8.120
N 0.000 0.000 5.850
N -1.411 -0.815 11.302
N 1.659 0.958 8.120
N 0.000 0.000 13.285
N 1.411 -0.815 11.302
N 0.000 1.629 11.302
```

---

(13)
Density functional theory data (PBE-GGA) for a geometry-optimized KLiWN3 structure. Values from VASP.

* raw formation energy: -0.314 eV/atom
* SG: Cmcm (63)
* total DFT energy (no corrections): -0.2623 Ha/atom
* total magnetization: 1.82 μB per cell

Cell and atoms, written as Quantum ESPRESSO input:
```
&SYSTEM
  ibrav = 0, nat = 12, ntyp = 4
/
ATOMIC_SPECIES
K 39.10 K.upf
Li 6.94 Li.upf
W 183.84 W.upf
N 14.01 N.upf
CELL_PARAMETERS angstrom
2.917 -5.338 0.000
2.917 5.338 0.000
0.000 0.000 5.526
ATOMIC_POSITIONS angstrom
K 2.917 2.930 4.145
K 2.917 -2.930 1.382
Li 2.917 4.580 1.382
Li 2.917 -4.580 4.145
W 2.917 0.617 1.382
W 2.917 -0.617 4.145
N 1.578 0.000 0.000
N 1.578 0.000 2.763
N 2.917 2.420 1.382
N 2.917 -2.420 4.145
N 4.256 0.000 0.000
N 4.256 0.000 2.763
```